## 1
{
  "formula": "Dy4YCd",
  "functional": "PBE",
  "state": "optimized geometry",
  "total_magnetization_mub_per_fu": 0.000,
  "spacegroup": "C2/c",
  "lattice": [[5.950, 0.483, -1.032], [2.468, 5.435, -1.032], [-1.068, -0.751, 11.673]],
  "species": ["Dy", "Dy", "Dy", "Dy", "Dy", "Dy", "Dy", "Dy", "Cd", "Cd", "Y", "Y"],
  "fractional_positions": [[0.751, 0.582, 0.250], [0.582, 0.751, 0.750], [0.677, 0.162, 0.000], [0.249, 0.418, 0.750], [0.323, 0.838, 0.000], [0.162, 0.677, 0.500], [0.838, 0.323, 0.500], [0.418, 0.249, 0.250], [0.913, 0.087, 0.750], [0.087, 0.913, 0.250], [0.500, 0.000, 0.500], [0.000, 0.500, 0.000]]
}

## 2
{
  "formula": "Dy4YCd",
  "functional": "PBE",
  "state": "optimized geometry",
  "total_magnetization_mub_per_fu": 0.000,
  "spacegroup": "P4/mmm",
  "lattice": [[-3.089, 0.941, -1.502], [-1.610, -0.227, 3.169], [2.949, 13.627, 2.474]],
  "species": ["Dy", "Dy", "Dy", "Dy", "Y", "Cd"],
  "fractional_positions": [[0.000, 0.000, 0.647], [0.000, 0.000, 0.353], [0.500, 0.500, 0.822], [0.500, 0.500, 0.178], [0.000, 0.000, 0.000], [0.500, 0.500, 0.500]]
}

Going by the computed energies, the most stable comes first: 2, 1.

## 1
{
  "formula": "DyY3Cd",
  "functional": "PBE",
  "state": "optimized geometry",
  "total_magnetization_mub_per_fu": 0.000,
  "spacegroup": "C2/m",
  "lattice": [[-0.080, 2.035, 3.048], [-5.090, 1.666, -1.247], [-5.808, -12.455, 5.959]],
  "species": ["Y", "Y", "Y", "Y", "Y", "Y", "Cd", "Cd", "Dy", "Dy"],
  "fractional_positions": [[0.949, 0.728, 0.899], [0.128, 0.762, 0.257], [0.661, 0.258, 0.321], [0.051, 0.272, 0.101], [0.872, 0.238, 0.743], [0.339, 0.742, 0.679], [0.461, 0.224, 0.922], [0.539, 0.776, 0.078], [0.733, 0.752, 0.467], [0.267, 0.248, 0.533]]
}

## 2
{
  "formula": "DyY3Cd",
  "functional": "PBE",
  "state": "optimized geometry",
  "total_magnetization_mub_per_fu": 0.041,
  "spacegroup": "Cmcm",
  "lattice": [[-3.590, -1.151, -0.548], [5.207, -8.245, -3.576], [-0.086, -3.291, 7.464]],
  "species": ["Cd", "Cd", "Y", "Y", "Y", "Y", "Y", "Y", "Dy", "Dy"],
  "fractional_positions": [[0.687, 0.873, 0.250], [0.313, 0.127, 0.750], [0.902, 0.304, 0.537], [0.098, 0.696, 0.037], [0.693, 0.887, 0.750], [0.307, 0.113, 0.250], [0.902, 0.304, 0.963], [0.098, 0.696, 0.463], [0.521, 0.541, 0.750], [0.479, 0.459, 0.250]]
}

Going by the computed energies, the most stable comes first: 1, 2.

## 1
{
  "formula": "Dy3YCd2",
  "functional": "PBE",
  "state": "optimized geometry",
  "total_magnetization_mub_per_fu": 0.000,
  "spacegroup": "Pmc2_1",
  "lattice": [[-0.919, 1.894, 4.775], [-5.966, -3.487, 0.235], [4.457, -7.371, 3.780]],
  "species": ["Cd", "Cd", "Cd", "Cd", "Dy", "Dy", "Dy", "Dy", "Dy", "Dy", "Y", "Y"],
  "fractional_positions": [[0.000, 0.773, 0.351], [0.000, 0.273, 0.649], [0.500, 0.726, 0.851], [0.500, 0.226, 0.149], [0.000, 0.481, 0.954], [0.500, 0.179, 0.823], [0.000, 0.321, 0.321], [0.500, 0.679, 0.177], [0.000, 0.821, 0.679], [0.000, 0.981, 0.046], [0.500, 0.519, 0.545], [0.500, 0.019, 0.455]]
}

## 2
{
  "formula": "Dy3YCd2",
  "functional": "PBE",
  "state": "optimized geometry",
  "total_magnetization_mub_per_fu": 0.001,
  "spacegroup": "P4/mmm",
  "lattice": [[-2.169, -1.971, 2.194], [-0.594, -2.376, -2.721], [10.014, -6.822, 3.772]],
  "species": ["Y", "Dy", "Dy", "Dy", "Cd", "Cd"],
  "fractional_positions": [[0.500, 0.500, 0.500], [0.000, 0.000, 0.000], [0.000, 0.000, 0.306], [0.000, 0.000, 0.694], [0.500, 0.500, 0.848], [0.500, 0.500, 0.152]]
}

Going by the computed energies, the most stable comes first: 1, 2.

## 1
{
  "formula": "Dy4ZnCd3",
  "functional": "PBE",
  "state": "optimized geometry",
  "total_magnetization_mub_per_fu": 0.173,
  "spacegroup": "P4/mmm",
  "lattice": [[-0.362, -3.357, -1.428], [1.023, -1.471, 3.199], [-14.381, -0.340, 4.442]],
  "species": ["Dy", "Dy", "Dy", "Dy", "Zn", "Cd", "Cd", "Cd"],
  "fractional_positions": [[0.000, 0.000, 0.113], [0.000, 0.000, 0.887], [0.000, 0.000, 0.628], [0.000, 0.000, 0.372], [0.500, 0.500, 0.000], [0.500, 0.500, 0.500], [0.500, 0.500, 0.756], [0.500, 0.500, 0.244]]
}

## 2
{
  "formula": "Dy4ZnCd3",
  "functional": "PBE",
  "state": "optimized geometry",
  "total_magnetization_mub_per_fu": 0.000,
  "spacegroup": "Pmm2",
  "lattice": [[-1.918, -0.738, -2.952], [2.510, -4.069, -0.614], [-7.936, -5.896, 6.631]],
  "species": ["Dy", "Dy", "Dy", "Dy", "Cd", "Cd", "Cd", "Zn"],
  "fractional_positions": [[0.500, 0.500, 0.333], [0.000, 0.500, 0.848], [0.500, 0.000, 0.662], [0.000, 0.000, 0.154], [0.500, 0.000, 0.931], [0.000, 0.000, 0.426], [0.000, 0.500, 0.573], [0.500, 0.500, 0.074]]
}

Going by the computed energies, the most stable comes first: 1, 2.

## 1
{
  "formula": "Dy3ZnCd2",
  "functional": "PBE",
  "state": "optimized geometry",
  "total_magnetization_mub_per_fu": 0.142,
  "spacegroup": "P4/mmm",
  "lattice": [[3.644, 0.000, 0.000], [0.000, 3.644, 0.000], [0.000, 0.000, 11.292]],
  "species": ["Dy", "Dy", "Dy", "Cd", "Cd", "Zn"],
  "fractional_positions": [[0.000, 0.000, 0.348], [0.000, 0.000, 0.000], [0.000, 0.000, 0.652], [0.500, 0.500, 0.173], [0.500, 0.500, 0.827], [0.500, 0.500, 0.500]]
}

## 2
{
  "formula": "Dy3ZnCd2",
  "functional": "PBE",
  "state": "optimized geometry",
  "total_magnetization_mub_per_fu": 0.000,
  "spacegroup": "P-3m1",
  "lattice": [[5.214, 0.000, 0.000], [-2.607, 4.516, 0.000], [0.000, 0.000, 12.809]],
  "species": ["Cd", "Cd", "Cd", "Cd", "Dy", "Dy", "Dy", "Dy", "Dy", "Dy", "Zn", "Zn"],
  "fractional_positions": [[0.000, 0.000, 0.500], [0.667, 0.333, 0.834], [0.333, 0.667, 0.166], [0.000, 0.000, 0.000], [0.000, 0.000, 0.744], [0.667, 0.333, 0.090], [0.333, 0.667, 0.417], [0.667, 0.333, 0.583], [0.000, 0.000, 0.256], [0.333, 0.667, 0.910], [0.333, 0.667, 0.664], [0.667, 0.333, 0.336]]
}

Going by the computed energies, the most stable comes first: 1, 2.

## 1
{
  "formula": "Dy4ZnCd",
  "functional": "PBE",
  "state": "optimized geometry",
  "total_magnetization_mub_per_fu": 1.034,
  "spacegroup": "P4/mmm",
  "lattice": [[3.566, -0.001, 0.000], [0.001, 3.566, 0.000], [-0.001, -0.001, 12.713]],
  "species": ["Zn", "Dy", "Dy", "Dy", "Dy", "Cd"],
  "fractional_positions": [[0.000, 0.000, 0.000], [0.500, 0.500, 0.140], [0.000, 0.000, 0.336], [0.000, 0.000, 0.664], [0.500, 0.500, 0.860], [0.500, 0.500, 0.500]]
}

## 2
{
  "formula": "Dy4ZnCd",
  "functional": "PBE",
  "state": "optimized geometry",
  "total_magnetization_mub_per_fu": 0.001,
  "spacegroup": "P4/mmm",
  "lattice": [[-2.388, -1.027, -4.259], [4.369, -0.191, -2.404], [0.485, -7.111, 1.442]],
  "species": ["Dy", "Dy", "Dy", "Dy", "Zn", "Cd"],
  "fractional_positions": [[0.001, 0.497, 0.261], [0.501, 0.997, 0.261], [0.501, 0.998, 0.736], [0.001, 0.497, 0.736], [0.001, 0.997, 0.498], [0.501, 0.497, 0.998]]
}

Going by the computed energies, the most stable comes first: 1, 2.

## 1
{
  "formula": "Dy4Zn3Cd",
  "functional": "PBE",
  "state": "optimized geometry",
  "total_magnetization_mub_per_fu": 0.001,
  "spacegroup": "P4/mmm",
  "lattice": [[5.083, 0.000, 0.000], [0.000, 7.317, 0.000], [0.000, 0.000, 10.164]],
  "species": ["Zn", "Zn", "Zn", "Zn", "Zn", "Zn", "Cd", "Cd", "Dy", "Dy", "Dy", "Dy", "Dy", "Dy", "Dy", "Dy"],
  "fractional_positions": [[0.501, 0.000, 0.250], [0.499, 0.000, 0.750], [0.500, 0.500, 0.250], [0.000, 0.000, 0.500], [0.000, 0.000, 0.000], [0.500, 0.500, 0.750], [0.000, 0.500, 0.000], [0.000, 0.500, 0.500], [0.500, 0.760, 0.000], [0.500, 0.240, 0.500], [0.000, 0.760, 0.250], [0.500, 0.760, 0.500], [0.000, 0.240, 0.750], [0.000, 0.240, 0.250], [0.500, 0.240, 0.000], [0.000, 0.760, 0.750]]
}

## 2
{
  "formula": "Dy4Zn3Cd",
  "functional": "PBE",
  "state": "optimized geometry",
  "total_magnetization_mub_per_fu": 0.000,
  "spacegroup": "Pmm2",
  "lattice": [[3.629, 0.000, 0.000], [0.000, 4.615, 0.000], [0.000, 0.000, 11.530]],
  "species": ["Dy", "Dy", "Dy", "Dy", "Zn", "Zn", "Zn", "Cd"],
  "fractional_positions": [[0.500, 0.000, 0.651], [0.500, 0.500, 0.354], [0.000, 0.500, 0.838], [0.000, 0.000, 0.162], [0.500, 0.000, 0.924], [0.000, 0.500, 0.570], [0.000, 0.000, 0.432], [0.500, 0.500, 0.068]]
}

Going by the computed energies, the most stable comes first: 1, 2.

## 1
{
  "formula": "Dy2ZnCd",
  "functional": "PBE",
  "state": "optimized geometry",
  "total_magnetization_mub_per_fu": 0.000,
  "spacegroup": "P4/mmm",
  "lattice": [[-1.440, 0.022, -3.294], [3.200, -0.845, -1.405], [-1.644, -7.337, 0.669]],
  "species": ["Zn", "Dy", "Dy", "Cd"],
  "fractional_positions": [[0.500, 0.500, 0.000], [0.000, 0.000, 0.770], [0.000, 0.000, 0.230], [0.500, 0.500, 0.500]]
}

## 2
{
  "formula": "Dy2ZnCd",
  "functional": "PBE",
  "state": "optimized geometry",
  "total_magnetization_mub_per_fu": 0.000,
  "spacegroup": "Fm-3m",
  "lattice": [[-3.166, 0.344, 4.087], [1.255, -2.334, 4.453], [1.377, 2.836, 4.113]],
  "species": ["Zn", "Dy", "Dy", "Cd"],
  "fractional_positions": [[0.000, 0.000, 0.000], [0.250, 0.250, 0.250], [0.750, 0.750, 0.750], [0.500, 0.500, 0.500]]
}

Going by the computed energies, the most stable comes first: 1, 2.

## 1
{
  "formula": "DyZrCd4",
  "functional": "PBE",
  "state": "optimized geometry",
  "total_magnetization_mub_per_fu": 2.081,
  "spacegroup": "F-43m",
  "lattice": [[5.794, 0.000, 0.000], [2.897, 5.018, 0.000], [2.897, 1.673, 4.731]],
  "species": ["Cd", "Cd", "Cd", "Cd", "Dy", "Zr"],
  "fractional_positions": [[0.625, 0.625, 0.124], [0.625, 0.625, 0.625], [0.124, 0.625, 0.625], [0.625, 0.124, 0.625], [0.250, 0.250, 0.250], [0.000, 0.000, 0.000]]
}

## 2
{
  "formula": "DyZrCd4",
  "functional": "PBE",
  "state": "optimized geometry",
  "total_magnetization_mub_per_fu": 0.000,
  "spacegroup": "P6/mmm",
  "lattice": [[-0.523, 2.889, 3.933], [-3.889, -2.356, -1.849], [1.247, -5.165, 3.959]],
  "species": ["Cd", "Cd", "Cd", "Cd", "Zr", "Dy"],
  "fractional_positions": [[0.337, 0.166, 0.234], [0.337, 0.166, 0.762], [0.671, 0.833, 0.762], [0.671, 0.833, 0.234], [0.004, 0.499, 0.998], [0.004, 0.499, 0.498]]
}

Going by the computed energies, the most stable comes first: 2, 1.

## 1
{
  "formula": "Er2Cd3",
  "functional": "PBE",
  "state": "optimized geometry",
  "total_magnetization_mub_per_fu": 0.000,
  "spacegroup": "R-3m",
  "lattice": [[-2.083, -1.068, -4.414], [-4.811, -1.328, -0.236], [-3.791, 4.722, -2.181]],
  "species": ["Cd", "Cd", "Cd", "Er", "Er"],
  "fractional_positions": [[0.192, 0.192, 0.424], [0.808, 0.808, 0.576], [0.000, 0.000, 0.000], [0.401, 0.401, 0.796], [0.599, 0.599, 0.204]]
}

## 2
{
  "formula": "Er2Cd3",
  "functional": "PBE",
  "state": "optimized geometry",
  "total_magnetization_mub_per_fu": 0.000,
  "spacegroup": "Cmcm",
  "lattice": [[0.306, 3.422, 0.146], [-2.618, 0.412, -4.158], [-12.528, -0.939, 7.793]],
  "species": ["Er", "Er", "Er", "Er", "Cd", "Cd", "Cd", "Cd", "Cd", "Cd"],
  "fractional_positions": [[0.425, 0.250, 0.850], [0.284, 0.750, 0.568], [0.575, 0.750, 0.150], [0.716, 0.250, 0.432], [0.121, 0.250, 0.242], [0.879, 0.750, 0.758], [0.976, 0.750, 0.952], [0.024, 0.250, 0.048], [0.175, 0.750, 0.350], [0.825, 0.250, 0.650]]
}

Going by the computed energies, the most stable comes first: 2, 1.

## 1
{
  "formula": "ErCd4",
  "functional": "PBE",
  "state": "optimized geometry",
  "total_magnetization_mub_per_fu": 0.000,
  "spacegroup": "Imma",
  "lattice": [[4.643, 0.000, -1.356], [-0.731, 6.011, -2.502], [-0.051, -0.058, 8.453]],
  "species": ["Cd", "Cd", "Cd", "Cd", "Cd", "Cd", "Cd", "Cd", "Er", "Er"],
  "fractional_positions": [[0.698, 0.193, 0.395], [0.302, 0.807, 0.605], [0.888, 0.638, 0.776], [0.112, 0.362, 0.224], [0.500, 0.500, 0.000], [0.302, 0.297, 0.605], [0.698, 0.703, 0.395], [0.500, 0.000, 0.000], [0.895, 0.145, 0.790], [0.105, 0.855, 0.210]]
}

## 2
{
  "formula": "ErCd4",
  "functional": "PBE",
  "state": "optimized geometry",
  "total_magnetization_mub_per_fu": 0.000,
  "spacegroup": "Pm-3m",
  "lattice": [[5.954, 0.000, 0.000], [0.000, 5.954, 0.000], [0.000, 0.000, 5.954]],
  "species": ["Cd", "Cd", "Cd", "Cd", "Er"],
  "fractional_positions": [[0.500, 0.500, 0.000], [0.500, 0.000, 0.500], [0.000, 0.000, 0.000], [0.000, 0.500, 0.500], [0.500, 0.500, 0.500]]
}

Going by the computed energies, the most stable comes first: 1, 2.

## 1
{
  "formula": "EuErCd",
  "functional": "PBE",
  "state": "optimized geometry",
  "total_magnetization_mub_per_fu": 7.225,
  "spacegroup": "P3m1",
  "lattice": [[3.627, 0.000, 0.000], [0.000, 5.369, 0.000], [0.000, -2.684, 4.649]],
  "species": ["Eu", "Er", "Cd"],
  "fractional_positions": [[0.973, 0.000, 0.000], [0.412, 0.333, 0.667], [0.615, 0.667, 0.333]]
}

## 2
{
  "formula": "EuErCd",
  "functional": "PBE",
  "state": "optimized geometry",
  "total_magnetization_mub_per_fu": 7.607,
  "spacegroup": "I4mm",
  "lattice": [[3.762, 0.000, 0.000], [0.000, 3.762, 0.000], [-1.881, -1.881, 6.535]],
  "species": ["Er", "Cd", "Eu"],
  "fractional_positions": [[0.308, 0.308, 0.616], [0.678, 0.678, 0.356], [0.014, 0.014, 0.028]]
}

Going by the computed energies, the most stable comes first: 2, 1.